A plane-wave DFT calculation with PBE-GGA was carried out for V3SnAs after structural relaxation.

For the formation energy, the calculation gives 7.0 eV/f.u. Its magnetic moment is 8.1 Bohr magnetons per cell. The mass density comes out at 4.60 g/cm³.

The space group is Pm-3m (No. 221) and the conventional cell measures 5.003, 5.003 and 5.003 Å, with angles of 90.00, 90.00 and 90.00 degrees. The inequivalent atoms are V at (0.000, 0.000, 0.500), Sn at (0.000, 0.000, 0.000) and As at (0.500, 0.500, 0.500).